(1)
Below is a relaxed structure of YSb2Pt, with properties calculated at the PBE-GGA level.

```
data_YSb2Pt
_space_group_name_H-M_alt 'I -4 2 d'
_space_group_IT_number 122
_space_group_name_Hall 'I -4 2bw'
_cell_length_a 8.003
_cell_length_b 8.003
_cell_length_c 6.211
_cell_angle_alpha 90.00
_cell_angle_beta 90.00
_cell_angle_gamma 90.00
loop_
_atom_site_label
_atom_site_type_symbol
_atom_site_fract_x
_atom_site_fract_y
_atom_site_fract_z
Y1 Y 0.000 0.000 0.000
Sb1 Sb 0.198 0.250 0.625
Pt1 Pt 0.000 0.000 0.500
```



(2)
Below is a relaxed structure of YSb2Pt, with properties calculated at the PBE-GGA level.

```
data_YSb2Pt
_space_group_name_H-M_alt 'P 1 m 1'
_space_group_IT_number 6
_space_group_name_Hall 'P -2y'
_cell_length_a 4.039
_cell_length_b 4.094
_cell_length_c 6.408
_cell_angle_alpha 90.00
_cell_angle_beta 108.36
_cell_angle_gamma 90.00
loop_
_atom_site_label
_atom_site_type_symbol
_atom_site_fract_x
_atom_site_fract_y
_atom_site_fract_z
Y1 Y 0.000 0.000 0.000
Sb1 Sb 0.360 0.500 0.721
Sb2 Sb 0.728 0.000 0.459
Pt1 Pt 0.583 0.500 0.162
```



(3)
Below is a relaxed structure of YSbPt5, with properties calculated at the PBE-GGA level.

```
data_YSbPt5
_space_group_name_H-M_alt 'P n m a'
_space_group_IT_number 62
_space_group_name_Hall '-P 2ac 2n'
_cell_length_a 8.773
_cell_length_b 5.538
_cell_length_c 10.772
_cell_angle_alpha 90.00
_cell_angle_beta 90.00
_cell_angle_gamma 90.00
loop_
_atom_site_label
_atom_site_type_symbol
_atom_site_fract_x
_atom_site_fract_y
_atom_site_fract_z
Y1 Y 0.247 0.250 0.048
Sb1 Sb 0.161 0.250 0.346
Pt1 Pt 0.062 0.507 0.796
Pt2 Pt 0.075 0.250 0.573
Pt3 Pt 0.092 0.750 0.021
Pt4 Pt 0.182 0.750 0.278
```



(4)
Below is a relaxed structure of Y2SbPt, with properties calculated at the PBE-GGA level.

```
data_Y2SbPt
_space_group_name_H-M_alt 'A m m 2'
_space_group_IT_number 38
_space_group_name_Hall 'A 2 -2'
_cell_length_a 4.330
_cell_length_b 4.126
_cell_length_c 11.247
_cell_angle_alpha 90.00
_cell_angle_beta 90.00
_cell_angle_gamma 90.00
loop_
_atom_site_label
_atom_site_type_symbol
_atom_site_fract_x
_atom_site_fract_y
_atom_site_fract_z
Y1 Y 0.000 0.000 0.000
Y2 Y 0.500 0.000 0.288
Sb1 Sb 0.000 0.000 0.718
Pt1 Pt 0.500 0.000 0.542
```



Number 1: formation energy from raw total energies -0.637 eV/atom. Number 2: formation energy from raw total energies -0.636 eV/atom. Number 3: formation energy from raw total energies -0.607 eV/atom. Number 4: formation energy from raw total energies -1.144 eV/atom.